1.
Tl2TcOsBr | GGA-PBE | relaxed

Unit cell a=5.871 b=5.871 c=4.534 alpha=90.00 beta=90.00 gamma=90.00
Space group P4/mmm (No. 123)
One atom of each set of equivalent atoms:
1 Tl 0.000 0.500 0.000
2 Tc 0.000 0.000 0.500
3 Os 0.500 0.500 0.500
4 Br 0.500 0.500 0.000

Computed properties:
total energy	-18.3	eV per formula unit

2.
V2TcOsBr | GGA-PBE | relaxed

Unit cell a=4.365 b=4.365 c=4.463 alpha=90.00 beta=90.00 gamma=90.00
Space group P4/mmm (No. 123)
One atom of each set of equivalent atoms:
1 V 0.000 0.500 0.000
2 Tc 0.000 0.000 0.500
3 Os 0.500 0.500 0.500
4 Br 0.000 0.000 0.000

Computed properties:
total energy	-33.8	eV per formula unit

3.
VTc2OsBr | GGA-PBE | relaxed

Unit cell a=4.464 b=4.464 c=4.366 alpha=90.00 beta=90.00 gamma=90.00
Space group P4/mmm (No. 123)
One atom of each set of equivalent atoms:
1 V 0.000 0.000 0.000
2 Tc 0.000 0.500 0.500
3 Os 0.500 0.500 0.000
4 Br 0.000 0.000 0.500

Computed properties:
total energy	-33.8	eV per formula unit

4.
TcOsWBr2 | GGA-PBE | relaxed

Unit cell a=4.775 b=4.775 c=4.837 alpha=90.00 beta=90.00 gamma=90.00
Space group P4/mmm (No. 123)
One atom of each set of equivalent atoms:
1 Tc 0.000 0.000 0.000
2 Os 0.000 0.000 0.500
3 W 0.500 0.500 0.000
4 Br 0.000 0.500 0.500

Computed properties:
total energy	-26.1	eV per formula unit

5.
YTcOs2Br | GGA-PBE | relaxed

Unit cell a=5.041 b=5.041 c=5.337 alpha=90.00 beta=90.00 gamma=90.00
Space group P4/mmm (No. 123)
One atom of each set of equivalent atoms:
1 Y 0.000 0.000 0.000
2 Tc 0.000 0.000 0.500
3 Os 0.000 0.500 0.000
4 Br 0.500 0.500 0.500

Computed properties:
energy above the most stable polymorph in this dataset	974	meV/atom
total energy	-27.1	eV per formula unit

6.
YTcOs2Br | GGA-PBE | relaxed

Unit cell a=4.575 b=4.575 c=5.026 alpha=90.00 beta=90.00 gamma=90.00
Space group P4/mmm (No. 123)
One atom of each set of equivalent atoms:
1 Y 0.000 0.000 0.000
2 Tc 0.500 0.500 0.000
3 Os 0.000 0.500 0.500
4 Br 0.000 0.000 0.500

Computed properties:
energy above the most stable polymorph in this dataset	0	meV/atom
total energy	-32.0	eV per formula unit

7.
ZnTcOsBr2 | GGA-PBE | relaxed

Unit cell a=4.927 b=4.927 c=5.123 alpha=90.00 beta=90.00 gamma=90.00
Space group P4/mmm (No. 123)
One atom of each set of equivalent atoms:
1 Zn 0.000 0.000 0.000
2 Tc 0.500 0.500 0.500
3 Os 0.000 0.000 0.500
4 Br 0.000 0.500 0.000

Computed properties:
total energy	-17.7	eV per formula unit

8.
Te2OsBr | GGA-PBE | relaxed

Unit cell a=4.272 b=4.272 c=4.893 alpha=90.00 beta=90.00 gamma=90.00
Space group P4/mmm (No. 123)
One atom of each set of equivalent atoms:
1 Te 0.000 0.500 0.000
2 Os 0.000 0.000 0.500
3 Br 0.500 0.500 0.500

Computed properties:
energy above the most stable polymorph in this dataset	1213	meV/atom
total energy	-14.2	eV per formula unit

9.
Te2OsBr | GGA-PBE | relaxed

Unit cell a=3.146 b=5.665 c=11.610 alpha=90.00 beta=90.00 gamma=90.00
Space group Cmm2 (No. 35)
One atom of each set of equivalent atoms:
1 Te 0.000 0.000 0.000
2 Te 0.000 0.500 0.314
3 Os 0.000 0.000 0.499
4 Br 0.000 0.500 0.675

Computed properties:
energy above the most stable polymorph in this dataset	615	meV/atom
total energy	-16.6	eV per formula unit

10.
TeOsBr | GGA-PBE | relaxed

Unit cell a=3.9199 b=3.9199 c=5.9444 alpha=90.00 beta=90.00 gamma=120.00
Space group P3m1 (No. 156)
One atom of each set of equivalent atoms:
1 Te 0.0000 0.0000 0.0000
2 Os 0.3333 0.6667 0.7913
3 Br 0.6667 0.3333 0.5376

Computed properties:
total energy	-15.2	eV per formula unit

11.
Te2OsBr | GGA-PBE | relaxed

Unit cell a=3.157 b=3.157 c=11.581 alpha=90.00 beta=90.00 gamma=90.00
Space group P4mm (No. 99)
One atom of each set of equivalent atoms:
1 Te 0.000 0.000 0.000
2 Te 0.500 0.500 0.352
3 Os 0.500 0.500 0.126
4 Br 0.000 0.000 0.656

Computed properties:
energy above the most stable polymorph in this dataset	304	meV/atom
total energy	-17.8	eV per formula unit

12.
Te2OsBr | GGA-PBE | relaxed

Unit cell a=6.970 b=6.970 c=6.970 alpha=90.00 beta=90.00 gamma=90.00
Space group Fm-3m (No. 225)
One atom of each set of equivalent atoms:
1 Te 0.250 0.250 0.250
2 Os 0.000 0.000 0.000
3 Br 0.000 0.000 0.500

Computed properties:
energy above the most stable polymorph in this dataset	777	meV/atom
total energy	-15.9	eV per formula unit

13.
Te2OsBr | GGA-PBE | relaxed

Unit cell a=3.497 b=4.933 c=5.091 alpha=90.00 beta=90.00 gamma=90.00
Space group Pmmm (No. 47)
One atom of each set of equivalent atoms:
1 Te 0.000 0.000 0.000
2 Te 0.500 0.000 0.500
3 Os 0.000 0.500 0.500
4 Br 0.500 0.500 0.000

Computed properties:
energy above the most stable polymorph in this dataset	1171	meV/atom
total energy	-14.3	eV per formula unit

14.
Te2OsBr | GGA-PBE | relaxed

Unit cell a=5.183 b=5.183 c=3.198 alpha=90.00 beta=90.00 gamma=90.00
Space group P4/mmm (No. 123)
One atom of each set of equivalent atoms:
1 Te 0.000 0.500 0.000
2 Os 0.000 0.000 0.500
3 Br 0.500 0.500 0.500

Computed properties:
energy above the most stable polymorph in this dataset	942	meV/atom
total energy	-15.3	eV per formula unit

15.
Te2OsBr | GGA-PBE | relaxed

Unit cell a=3.209 b=3.209 c=9.336 alpha=90.00 beta=90.00 gamma=90.00
Space group P4/mmm (No. 123)
One atom of each set of equivalent atoms:
1 Te 0.000 0.000 0.185
2 Os 0.500 0.500 0.000
3 Br 0.500 0.500 0.500

Computed properties:
energy above the most stable polymorph in this dataset	307	meV/atom
total energy	-17.8	eV per formula unit

16.
Te2Os2Br | GGA-PBE | relaxed

Unit cell a=8.256 b=8.256 c=3.115 alpha=90.00 beta=90.00 gamma=90.00
Space group P4/mbm (No. 127)
One atom of each set of equivalent atoms:
1 Te 0.145 0.355 0.000
2 Os 0.125 0.625 0.500
3 Br 0.000 0.000 0.000

Computed properties:
energy above the most stable polymorph in this dataset	751	meV/atom
total energy	-25.8	eV per formula unit

17.
Te2OsBr | GGA-PBE | relaxed

Unit cell a=4.1002 b=4.1002 c=24.3658 alpha=90.00 beta=90.00 gamma=120.00
Space group R-3m (No. 166, hexagonal axes)
One atom of each set of equivalent atoms:
1 Te 0.0000 0.0000 0.1155
2 Os 0.0000 0.0000 0.5000
3 Br 0.0000 0.0000 0.0000

Computed properties:
energy above the most stable polymorph in this dataset	0	meV/atom
total energy	-19.0	eV per formula unit

18.
TeOs3Br | GGA-PBE | relaxed

Unit cell a=4.636 b=4.636 c=4.636 alpha=90.00 beta=90.00 gamma=90.00
Space group Pm-3m (No. 221)
One atom of each set of equivalent atoms:
1 Te 0.000 0.000 0.000
2 Os 0.000 0.500 0.500
3 Br 0.500 0.500 0.500

Computed properties:
energy above the most stable polymorph in this dataset	0	meV/atom
total energy	-26.3	eV per formula unit

19.
Te2OsBr | GGA-PBE | relaxed

Unit cell a=3.266 b=5.370 c=11.181 alpha=90.00 beta=90.00 gamma=90.00
Space group Cmmm (No. 65)
One atom of each set of equivalent atoms:
1 Te 0.000 0.000 0.195
2 Os 0.000 0.500 0.000
3 Br 0.000 0.500 0.500

Computed properties:
energy above the most stable polymorph in this dataset	520	meV/atom
total energy	-16.9	eV per formula unit

20.
Te2OsBr | GGA-PBE | relaxed

Unit cell a=3.751 b=5.093 c=13.398 alpha=90.00 beta=90.00 gamma=90.00
Space group Amm2 (No. 38)
One atom of each set of equivalent atoms:
1 Te 0.000 0.000 0.000
2 Te 0.500 0.000 0.308
3 Os 0.500 0.000 0.876
4 Br 0.000 0.000 0.725

Computed properties:
energy above the most stable polymorph in this dataset	181	meV/atom
total energy	-18.3	eV per formula unit

21.
Te2OsBr | GGA-PBE | relaxed

Unit cell a=3.491 b=4.834 c=13.160 alpha=90.00 beta=90.00 gamma=90.00
Space group Imm2 (No. 44)
One atom of each set of equivalent atoms:
1 Te 0.000 0.000 0.000
2 Te 0.000 0.500 0.135
3 Os 0.000 0.500 0.647
4 Br 0.000 0.000 0.309

Computed properties:
energy above the most stable polymorph in this dataset	351	meV/atom
total energy	-17.6	eV per formula unit

22.
TeOsBr4 | GGA-PBE | relaxed

Unit cell a=8.636 b=8.636 c=8.636 alpha=90.00 beta=90.00 gamma=90.00
Space group F-43m (No. 216)
One atom of each set of equivalent atoms:
1 Te 0.000 0.000 0.000
2 Os 0.250 0.250 0.250
3 Br 0.124 0.124 0.624

Computed properties:
total energy	-11.5	eV per formula unit

23.
Te2OsBr | GGA-PBE | relaxed

Unit cell a=5.610 b=5.610 c=6.045 alpha=90.00 beta=90.00 gamma=90.00
Space group I4/mmm (No. 139)
One atom of each set of equivalent atoms:
1 Te 0.000 0.500 0.000
2 Os 0.000 0.000 0.000
3 Br 0.000 0.000 0.500

Computed properties:
energy above the most stable polymorph in this dataset	870	meV/atom
total energy	-15.5	eV per formula unit

24.
TeOsBr | GGA-PBE | relaxed

Unit cell a=3.239 b=3.239 c=13.650 alpha=90.00 beta=90.00 gamma=90.00
Space group I4mm (No. 107)
One atom of each set of equivalent atoms:
1 Te 0.000 0.000 0.000
2 Os 0.000 0.000 0.606
3 Br 0.000 0.000 0.247

Computed properties:
total energy	-14.4	eV per formula unit

25.
Te2OsBr | GGA-PBE | relaxed

Unit cell a=7.077 b=7.077 c=7.077 alpha=90.00 beta=90.00 gamma=90.00
Space group F-43m (No. 216)
One atom of each set of equivalent atoms:
1 Te 0.000 0.000 0.000
2 Te 0.250 0.250 0.250
3 Os 0.000 0.000 0.500
4 Br 0.250 0.250 0.750

Computed properties:
energy above the most stable polymorph in this dataset	1135	meV/atom
total energy	-14.5	eV per formula unit

26.
Te2OsBr | GGA-PBE | relaxed

Unit cell a=7.137 b=7.137 c=10.492 alpha=90.00 beta=90.00 gamma=90.00
Space group I-42d (No. 122)
One atom of each set of equivalent atoms:
1 Te 0.167 0.250 0.125
2 Os 0.000 0.000 0.000
3 Br 0.000 0.000 0.500

Computed properties:
energy above the most stable polymorph in this dataset	250	meV/atom
total energy	-18.0	eV per formula unit

27.
TeOsBr3 | GGA-PBE | relaxed

Unit cell a=5.055 b=5.055 c=5.055 alpha=90.00 beta=90.00 gamma=90.00
Space group Pm-3m (No. 221)
One atom of each set of equivalent atoms:
1 Te 0.000 0.000 0.000
2 Os 0.500 0.500 0.500
3 Br 0.000 0.500 0.500

Computed properties:
energy above the most stable polymorph in this dataset	0	meV/atom
total energy	-16.1	eV per formula unit

28.
Te2OsBr | GGA-PBE | relaxed

Unit cell a=5.948 b=8.808 c=3.368 alpha=90.00 beta=90.00 gamma=90.00
Space group Cmmm (No. 65)
One atom of each set of equivalent atoms:
1 Te 0.250 0.250 0.000
2 Os 0.000 0.000 0.500
3 Br 0.000 0.500 0.500

Computed properties:
energy above the most stable polymorph in this dataset	1044	meV/atom
total energy	-14.9	eV per formula unit

29.
Te2OsBr | GGA-PBE | relaxed

Unit cell a=3.208 b=5.072 c=12.165 alpha=90.00 beta=90.00 gamma=90.00
Space group Immm (No. 71)
One atom of each set of equivalent atoms:
1 Te 0.000 0.000 0.179
2 Os 0.000 0.500 0.500
3 Br 0.000 0.500 0.000

Computed properties:
energy above the most stable polymorph in this dataset	503	meV/atom
total energy	-17.0	eV per formula unit

30.
Te2OsBr | GGA-PBE | relaxed

Unit cell a=12.798 b=3.576 c=5.998 alpha=90.00 beta=116.28 gamma=90.00
Space group Cm (No. 8)
One atom of each set of equivalent atoms:
1 Te 0.000 0.000 0.000
2 Te 0.139 0.000 0.684
3 Os 0.488 0.000 0.673
4 Br 0.339 0.500 0.362

Computed properties:
energy above the most stable polymorph in this dataset	214	meV/atom
total energy	-18.2	eV per formula unit

The records above yield V values of 31.26 17.01 17.41 22.06 27.12 21.04 24.87 22.32 25.86 26.37 28.85 21.17 21.96 21.48 24.04 21.23 29.56 19.92 24.52 32.00 27.76 26.84 23.78 23.87 22.15 33.40 25.84 22.06 24.74 30.77 Å³ per atom, respectively.